1.
{
  "formula": "NpSnB2O8",
  "functional": "GGA-PBE",
  "state": "optimized geometry",
  "magmom_total_mub_per_atom": 0.08,
  "crystal_system": "monoclinic",
  "formation_energy_uncorrected_ev_per_atom": -2.15,
  "lattice_angstrom": [[3.848, -2.612, 0.000], [3.848, 2.612, 0.000], [-0.123, 0.000, 6.783]],
  "species": ["Np", "Sn", "B", "B", "O", "O", "O", "O", "O", "O", "O", "O"],
  "fractional_positions": [[0.000, 0.000, 0.000], [0.000, 0.000, 0.500], [0.349, 0.349, 0.731], [0.651, 0.651, 0.269], [0.222, 0.697, 0.750], [0.242, 0.242, 0.921], [0.253, 0.253, 0.555], [0.303, 0.778, 0.250], [0.697, 0.222, 0.750], [0.747, 0.747, 0.445], [0.758, 0.758, 0.079], [0.778, 0.303, 0.250]]
}

2.
{
  "formula": "Ce6CdHg5",
  "functional": "GGA-PBE",
  "state": "optimized geometry",
  "magmom_total_mub_per_atom": 0.00,
  "ef_ev_per_atom": -0.124,
  "crystal_system": "monoclinic",
  "polymorph_energy_mev_per_atom": 134,
  "lattice_angstrom": [[2.785, -4.813, 0.000], [2.785, 4.813, 0.000], [-1.835, 0.000, 11.270]],
  "species": ["Ce", "Ce", "Ce", "Ce", "Ce", "Ce", "Cd", "Hg", "Hg", "Hg", "Hg", "Hg"],
  "fractional_positions": [[0.082, 0.417, 0.749], [0.249, 0.249, 0.251], [0.417, 0.082, 0.749], [0.583, 0.918, 0.251], [0.751, 0.751, 0.749], [0.918, 0.583, 0.251], [0.500, 0.500, 0.000], [0.000, 0.000, 0.500], [0.167, 0.833, 0.000], [0.334, 0.666, 0.500], [0.666, 0.334, 0.500], [0.833, 0.167, 0.000]]
}

3.
{
  "formula": "BeCrSe2",
  "functional": "GGA-PBE",
  "state": "optimized geometry",
  "magmom_total_mub_per_atom": 0.96,
  "crystal_system": "orthorhombic",
  "formation_energy_uncorrected_ev_per_atom": 0.07,
  "lattice_angstrom": [[3.429, 0.000, 0.000], [0.000, 3.458, 0.000], [0.000, 0.000, 7.678]],
  "species": ["Be", "Cr", "Se", "Se"],
  "fractional_positions": [[0.000, 0.000, 0.000], [0.000, 0.500, 0.500], [0.500, 0.000, 0.500], [0.500, 0.500, 0.000]]
}

4.
{
  "formula": "CdCuN",
  "functional": "GGA-PBE",
  "state": "optimized geometry",
  "magmom_total_mub_per_atom": 0.00,
  "crystal_system": "triclinic",
  "formation_energy_uncorrected_ev_per_atom": 0.65,
  "lattice_angstrom": [[3.053, 0.000, 0.000], [1.525, 3.596, 0.000], [1.516, 0.809, 8.558]],
  "species": ["Cd", "Cd", "Cu", "Cu", "N", "N"],
  "fractional_positions": [[0.197, 0.453, 0.152], [0.803, 0.547, 0.848], [0.146, 0.112, 0.598], [0.854, 0.888, 0.402], [0.430, 0.865, 0.272], [0.570, 0.135, 0.728]]
}

5.
{
  "formula": "Be3FeCl",
  "functional": "GGA-PBE",
  "state": "optimized geometry",
  "magmom_total_mub_per_atom": 0.36,
  "crystal_system": "cubic",
  "polymorph_energy_mev_per_atom": 159,
  "formation_energy_uncorrected_ev_per_atom": 1.26,
  "lattice_angstrom": [[4.002, 0.000, 0.000], [0.000, 4.002, 0.000], [0.000, 0.000, 4.002]],
  "species": ["Be", "Be", "Be", "Fe", "Cl"],
  "fractional_positions": [[0.000, 0.000, 0.500], [0.000, 0.500, 0.000], [0.500, 0.000, 0.000], [0.500, 0.500, 0.500], [0.000, 0.000, 0.000]]
}

6.
{
  "formula": "Ho2SiB2Ir5",
  "functional": "GGA-PBE",
  "state": "optimized geometry",
  "magmom_total_mub_per_atom": 0.00,
  "crystal_system": "tetragonal",
  "formation_energy_uncorrected_ev_per_atom": -0.76,
  "lattice_angstrom": [[9.410, 0.000, 0.000], [0.000, 9.410, 0.000], [0.000, 0.000, 3.222]],
  "species": ["Ho", "Ho", "Ho", "Ho", "Si", "Si", "B", "B", "B", "B", "Ir", "Ir", "Ir", "Ir", "Ir", "Ir", "Ir", "Ir", "Ir", "Ir"],
  "fractional_positions": [[0.176, 0.324, 0.000], [0.324, 0.824, 0.000], [0.676, 0.176, 0.000], [0.824, 0.676, 0.000], [0.000, 0.000, 0.000], [0.500, 0.500, 0.000], [0.122, 0.622, 0.000], [0.378, 0.122, 0.000], [0.622, 0.878, 0.000], [0.878, 0.378, 0.000], [0.000, 0.500, 0.500], [0.068, 0.785, 0.500], [0.215, 0.068, 0.500], [0.285, 0.568, 0.500], [0.432, 0.285, 0.500], [0.500, 0.000, 0.500], [0.568, 0.715, 0.500], [0.715, 0.432, 0.500], [0.785, 0.932, 0.500], [0.932, 0.215, 0.500]]
}

7.
{
  "formula": "LiPtSeI",
  "functional": "GGA-PBE",
  "state": "optimized geometry",
  "magmom_total_mub_per_atom": 0.00,
  "crystal_system": "orthorhombic",
  "polymorph_energy_mev_per_atom": 202,
  "formation_energy_uncorrected_ev_per_atom": -0.37,
  "lattice_angstrom": [[4.583, 0.000, 0.000], [0.000, 2.696, 3.924], [0.000, -2.696, 3.924]],
  "species": ["Li", "Pt", "Se", "I"],
  "fractional_positions": [[0.000, 0.000, 0.000], [0.500, 0.763, 0.763], [0.000, 0.644, 0.644], [0.500, 0.212, 0.212]]
}

8.
{
  "formula": "TaTiNbAu",
  "functional": "GGA-PBE",
  "state": "optimized geometry",
  "magmom_total_mub_per_atom": 0.00,
  "ef_ev_per_atom": 0.116,
  "crystal_system": "tetragonal",
  "polymorph_energy_mev_per_atom": 184,
  "lattice_angstrom": [[-1.626, 1.626, 7.441], [1.626, -1.626, 7.441], [1.626, 1.626, -7.441]],
  "species": ["Ta", "Ti", "Nb", "Au"],
  "fractional_positions": [[0.000, 0.000, 0.000], [0.790, 0.790, 0.000], [0.397, 0.397, 0.000], [0.183, 0.183, 0.000]]
}

9.
{
  "formula": "Pa2ClF8",
  "functional": "GGA-PBE",
  "state": "optimized geometry",
  "magmom_total_mub_per_atom": 0.10,
  "crystal_system": "monoclinic",
  "polymorph_energy_mev_per_atom": 42,
  "formation_energy_uncorrected_ev_per_atom": -3.51,
  "lattice_angstrom": [[5.658, -3.987, 0.000], [5.658, 3.987, 0.000], [-1.691, 0.000, 4.264]],
  "species": ["Pa", "Pa", "Cl", "F", "F", "F", "F", "F", "F", "F", "F"],
  "fractional_positions": [[0.248, 0.248, 0.028], [0.752, 0.752, 0.972], [0.500, 0.500, 0.500], [0.059, 0.059, 0.789], [0.108, 0.564, 0.909], [0.225, 0.225, 0.489], [0.436, 0.892, 0.091], [0.564, 0.108, 0.909], [0.775, 0.775, 0.511], [0.892, 0.436, 0.091], [0.941, 0.941, 0.211]]
}

10.
{
  "formula": "SrLi2GaO4",
  "functional": "GGA-PBE",
  "state": "optimized geometry",
  "magmom_total_mub_per_atom": 0.13,
  "crystal_system": "tetragonal",
  "formation_energy_uncorrected_ev_per_atom": -1.95,
  "lattice_angstrom": [[-2.688, 2.688, 3.417], [2.688, -2.688, 3.417], [2.688, 2.688, -3.417]],
  "species": ["Sr", "Li", "Li", "Ga", "O", "O", "O", "O"],
  "fractional_positions": [[0.000, 0.000, 0.000], [0.250, 0.750, 0.500], [0.750, 0.250, 0.500], [0.500, 0.500, 0.000], [0.142, 0.545, 0.000], [0.455, 0.455, 0.597], [0.545, 0.142, 0.000], [0.858, 0.858, 0.403]]
}

11.
{
  "formula": "HfVFeRh",
  "functional": "GGA-PBE",
  "state": "optimized geometry",
  "magmom_total_mub_per_atom": 0.43,
  "ef_ev_per_atom": -0.279,
  "crystal_system": "cubic",
  "lattice_angstrom": [[0.000, 3.100, 3.100], [3.100, 0.000, 3.100], [3.100, 3.100, 0.000]],
  "species": ["Hf", "V", "Fe", "Rh"],
  "fractional_positions": [[0.000, 0.000, 0.000], [0.500, 0.500, 0.500], [0.250, 0.250, 0.250], [0.750, 0.750, 0.750]]
}

12.
{
  "formula": "CrNiTe4",
  "functional": "GGA-PBE",
  "state": "optimized geometry",
  "magmom_total_mub_per_atom": 0.43,
  "crystal_system": "monoclinic",
  "formation_energy_uncorrected_ev_per_atom": -0.17,
  "lattice_angstrom": [[6.679, -1.938, 0.000], [6.679, 1.938, 0.000], [-3.381, 0.000, 5.836]],
  "species": ["Cr", "Ni", "Te", "Te", "Te", "Te"],
  "fractional_positions": [[0.000, 0.000, 0.000], [0.500, 0.500, 0.500], [0.119, 0.119, 0.777], [0.376, 0.376, 0.702], [0.624, 0.624, 0.298], [0.881, 0.881, 0.223]]
}

Density of states at the Fermi level, respectively: 0.11; 23.51; 1.94; 1.81; 4.41; 4.46; 1.58; 4.64; 3.59; 6.46; 4.30; 3.06 states/eV/cell.
DFT total energy, respectively: -7.980; -3.293; -5.010; -3.798; -3.038; -7.987; -3.622; -8.157; -6.767; -5.495; -9.001; -4.832 eV per atom.
Density, respectively: 6.155; 10.751; 3.994; 6.716; 3.067; 15.604; 6.986; 10.943; 5.607; 3.954; 10.823; 6.827 g/cm3.